Compound: LiCo2OF5
Source: the Alexandria database
Functional: PBE with a Hubbard U
Structure: optimized geometry

E   -130.9 eV/cell
Magnetization   8.1 Bohr magnetons per cell
Space-group type   P1 (1)

Cell lengths 4.448, 8.418, 8.555 Å; angles 60.90, 88.37, 87.47 degrees
Fractional positions:
Li: 0.000 0.000 0.000
Li: 0.012 0.348 0.326
Li: 0.474 0.672 0.656
Co: 0.492 0.013 0.317
Co: 0.497 0.314 0.665
Co: 0.503 0.665 0.004
Co: 0.963 0.000 0.662
Co: 0.967 0.683 0.347
Co: 0.968 0.357 0.985
O: 0.718 0.802 0.420
O: 0.732 0.453 0.099
O: 0.733 0.115 0.749
F: 0.208 0.233 0.879
F: 0.227 0.217 0.552
F: 0.233 0.575 0.224
F: 0.234 0.884 0.881
F: 0.236 0.230 0.210
F: 0.237 0.561 0.890
F: 0.243 0.904 0.221
F: 0.244 0.908 0.536
F: 0.248 0.544 0.557
F: 0.714 0.443 0.771
F: 0.729 0.774 0.772
F: 0.734 0.124 0.103
F: 0.737 0.113 0.425
F: 0.746 0.451 0.443
F: 0.748 0.782 0.105